Record 1
DFT (PBE) results for a relaxed Pa2MnSe5 crystal.

Geometry as CIF:
```
data_Pa2MnSe5
_cell_length_a 3.903
_cell_length_b 7.897
_cell_length_c 11.946
_cell_angle_alpha 90.00
_cell_angle_beta 90.00
_cell_angle_gamma 90.00
_space_group_name_H-M_alt 'P 1'
_space_group_IT_number 1
_space_group_name_Hall 'P 1'
loop_
_atom_site_label
_atom_site_fract_x
_atom_site_fract_y
_atom_site_fract_z
Pa1 0.500 0.515 0.180
Pa2 0.500 0.485 0.820
Pa3 0.500 0.985 0.680
Pa4 0.500 0.015 0.320
Mn1 0.000 0.500 0.500
Mn2 0.000 0.000 0.000
Se1 0.000 0.000 0.500
Se2 0.000 0.500 0.000
Se3 0.000 0.812 0.191
Se4 0.000 0.188 0.809
Se5 0.000 0.688 0.691
Se6 0.000 0.312 0.309
Se7 0.500 0.662 0.405
Se8 0.500 0.338 0.595
Se9 0.500 0.838 0.905
Se10 0.500 0.162 0.095
```



Record 2
DFT (PBE) results for a relaxed Pa5MnSe4 crystal.

Geometry as CIF:
```
data_Pa5MnSe4
_cell_length_a 5.755
_cell_length_b 6.983
_cell_length_c 6.983
_cell_angle_alpha 80.22
_cell_angle_beta 65.67
_cell_angle_gamma 65.67
_space_group_name_H-M_alt 'P 1'
_space_group_IT_number 1
_space_group_name_Hall 'P 1'
loop_
_atom_site_label
_atom_site_fract_x
_atom_site_fract_y
_atom_site_fract_z
Pa1 0.904 0.368 0.826
Pa2 0.272 0.826 0.632
Pa3 0.730 0.174 0.368
Pa4 0.098 0.632 0.174
Pa5 0.501 0.000 0.000
Mn1 0.001 0.000 0.000
Se1 0.414 0.396 0.779
Se2 0.810 0.779 0.604
Se3 0.192 0.221 0.396
Se4 0.588 0.604 0.221
```



Results for spin magnetization: 6.366, 0.001 (in μB/f.u., following the order of the records).
Results for energy: -6.815, -8.025 (in eV per atom, following the order of the records).
Results for theoretical density: 8.2, 10.9 (in g/cm3, following the order of the records).